No. 1
DFT (PBE-GGA) results for Tb12PrAl4N3 after structural relaxation.

Unit cell a=8.551 b=8.551 c=8.551 alpha=109.47 beta=109.47 gamma=109.47
Atoms (fractional coordinates):
Tb 0.250 0.500 0.750
Tb 0.725 0.000 0.725
Tb 0.275 0.000 0.275
Tb 0.750 0.500 0.250
Tb 0.725 0.725 0.000
Tb 0.275 0.275 0.000
Tb 0.750 0.250 0.500
Tb 0.250 0.750 0.500
Tb 0.500 0.250 0.750
Tb 0.000 0.725 0.725
Tb 0.500 0.750 0.250
Tb 0.000 0.275 0.275
Pr 0.000 0.000 0.000
Al 0.500 0.500 0.500
Al 0.000 0.000 0.500
Al 0.500 0.000 0.000
Al 0.000 0.500 0.000
N 0.500 0.000 0.500
N 0.500 0.500 0.000
N 0.000 0.500 0.500

Calculated values
formation energy from raw total energies = -373 meV/atom
uncorrected energy = -5.39 eV/atom

---

No. 2
DFT (PBE-GGA) results for Pr2AlWN5 after structural relaxation.

Unit cell a=3.255 b=7.247 c=10.322 alpha=90.00 beta=90.00 gamma=102.98
Atoms (fractional coordinates):
Pr 0.872 0.745 0.798
Pr 0.106 0.212 0.691
Pr 0.128 0.255 0.298
Pr 0.894 0.788 0.191
Al 0.548 0.096 0.960
Al 0.452 0.904 0.460
W 0.782 0.563 0.512
W 0.218 0.437 0.012
N 0.350 0.700 0.000
N 0.690 0.380 0.884
N 0.500 0.999 0.791
N 0.284 0.567 0.641
N 0.943 0.887 0.546
N 0.650 0.300 0.500
N 0.310 0.620 0.384
N 0.500 0.001 0.291
N 0.716 0.433 0.141
N 0.057 0.113 0.046

Calculated values
formation energy from raw total energies = -948 meV/atom
uncorrected energy = -8.49 eV/atom

---

No. 3
DFT (PBE-GGA) results for PrY2AlN after structural relaxation.

Unit cell a=5.035 b=4.802 c=4.802 alpha=90.00 beta=90.00 gamma=90.00
Atoms (fractional coordinates):
Pr 0.500 0.000 0.000
Y 0.000 0.000 0.500
Y 0.000 0.500 0.000
Al 0.500 0.500 0.500
N 0.000 0.000 0.000

Calculated values
formation energy from raw total energies = -844 meV/atom
uncorrected energy = -6.80 eV/atom